{"formula": "Na6SeF12", "functional": "PBE", "state": "relaxed", "e_form_raw_ev_per_atom": -2.2335, "space_group": "No. 148", "lattice": [[5.042, 2.911, 3.271], [-5.042, 2.911, 3.271], [0.000, -5.822, 3.271]], "species": ["Na", "Na", "Na", "Na", "Na", "Na", "Se", "F", "F", "F", "F", "F", "F", "F", "F", "F", "F", "F", "F"], "fractional_positions": [[0.107, 0.883, 0.664], [0.117, 0.336, 0.893], [0.336, 0.893, 0.117], [0.664, 0.107, 0.883], [0.883, 0.664, 0.107], [0.893, 0.117, 0.336], [0.500, 0.500, 0.500], [0.108, 0.664, 0.885], [0.115, 0.892, 0.336], [0.249, 0.410, 0.532], [0.336, 0.115, 0.892], [0.410, 0.532, 0.249], [0.468, 0.751, 0.590], [0.532, 0.249, 0.410], [0.590, 0.468, 0.751], [0.664, 0.885, 0.108], [0.751, 0.590, 0.468], [0.885, 0.108, 0.664], [0.892, 0.336, 0.115]]}

***

{"formula": "Pa3Sb", "functional": "PBE", "state": "relaxed", "e_form_raw_ev_per_atom": -0.3455, "space_group": "No. 221", "de_polymorph_ev_per_fu": 0.00, "lattice": [[4.603, 0.000, 0.000], [0.000, 4.603, 0.000], [0.000, 0.000, 4.603]], "species": ["Pa", "Pa", "Pa", "Sb"], "fractional_positions": [[0.000, 0.000, 0.500], [0.000, 0.500, 0.000], [0.500, 0.000, 0.000], [0.500, 0.500, 0.500]]}

***

{"formula": "CdIr2Ru", "functional": "PBE", "state": "relaxed", "ef_ev_per_atom": 0.35, "space_group": "No. 71", "lattice": [[2.785, 0.000, 0.000], [0.000, 4.710, 0.000], [0.000, 0.000, 9.702]], "species": ["Cd", "Cd", "Ir", "Ir", "Ir", "Ir", "Ru", "Ru"], "fractional_positions": [[0.000, 0.000, 0.000], [0.500, 0.500, 0.500], [0.000, 0.500, 0.231], [0.000, 0.500, 0.769], [0.500, 0.000, 0.269], [0.500, 0.000, 0.731], [0.000, 0.000, 0.500], [0.500, 0.500, 0.000]]}

***

{"formula": "ZnTePb2S", "functional": "PBE", "state": "relaxed", "e_form_raw_ev_per_atom": 0.5196, "space_group": "No. 123", "lattice": [[6.202, 0.000, 0.000], [0.000, 6.202, 0.000], [0.000, 0.000, 5.076]], "species": ["Zn", "Te", "Pb", "Pb", "S"], "fractional_positions": [[0.000, 0.000, 0.000], [0.000, 0.000, 0.500], [0.000, 0.500, 0.500], [0.500, 0.000, 0.500], [0.500, 0.500, 0.000]]}

***

{"formula": "SrCaPrIn", "functional": "PBE", "state": "relaxed", "ef_ev_per_atom": -0.15, "space_group": "No. 216", "lattice": [[8.224, 0.000, 0.000], [0.000, 8.224, 0.000], [0.000, 0.000, 8.224]], "species": ["Sr", "Sr", "Sr", "Sr", "Ca", "Ca", "Ca", "Ca", "Pr", "Pr", "Pr", "Pr", "In", "In", "In", "In"], "fractional_positions": [[0.000, 0.000, 0.000], [0.000, 0.500, 0.500], [0.500, 0.000, 0.500], [0.500, 0.500, 0.000], [0.250, 0.250, 0.250], [0.250, 0.750, 0.750], [0.750, 0.250, 0.750], [0.750, 0.750, 0.250], [0.000, 0.000, 0.500], [0.000, 0.500, 0.000], [0.500, 0.000, 0.000], [0.500, 0.500, 0.500], [0.250, 0.250, 0.750], [0.250, 0.750, 0.250], [0.750, 0.250, 0.250], [0.750, 0.750, 0.750]]}

***

{"formula": "Cd3P", "functional": "PBE", "state": "relaxed", "ef_ev_per_atom": 0.16, "space_group": "No. 71", "de_polymorph_ev_per_fu": 0.29, "lattice": [[3.583, 0.000, 0.000], [0.000, 4.031, 0.000], [0.000, 0.000, 12.534]], "species": ["Cd", "Cd", "Cd", "Cd", "Cd", "Cd", "P", "P"], "fractional_positions": [[0.000, 0.000, 0.000], [0.000, 0.500, 0.191], [0.000, 0.500, 0.809], [0.500, 0.000, 0.309], [0.500, 0.000, 0.691], [0.500, 0.500, 0.500], [0.000, 0.000, 0.500], [0.500, 0.500, 0.000]]}

***

Quick rundown of theoretical density, same order as above: 2.6, 13.9, 15.6, 5.4, 4.6, 6.8 Mg/m³
Quick rundown of spin magnetization, same order as above: 0.37, 0.00, 0.00, 0.00, 0.00, 0.00 μB/cell